This record from the Open Quantum Materials Database describes an optimized crystal structure of YCo2Mo. The functional is PBE. Values from VASP.

```
&SYSTEM
  ibrav = 0, nat = 4, ntyp = 3
/
ATOMIC_SPECIES
Y 88.91 Y.upf
Co 58.93 Co.upf
Mo 95.94 Mo.upf
ATOMIC_POSITIONS angstrom
Y 0.000 0.000 0.000
Co 3.113 3.113 3.113
Co 4.670 4.670 4.670
Mo 1.557 1.557 1.557
CELL_PARAMETERS angstrom
0.000 3.113 3.113
3.113 0.000 3.113
3.113 3.113 0.000
```

Summary:
The size of the total moment is 1.0 μB per cell. For the calculated formation energy, the calculation gives 45.8 kJ/mol of atoms.

=====

This record from the Open Quantum Materials Database describes an optimized crystal structure of SmZrW. The functional is PBE. Values from VASP.

```
&SYSTEM
  ibrav = 0, nat = 3, ntyp = 3
/
ATOMIC_SPECIES
Sm 150.36 Sm.upf
Zr 91.22 Zr.upf
W 183.84 W.upf
ATOMIC_POSITIONS angstrom
Sm 0.000 0.000 0.000
Zr 1.670 1.670 1.670
W 5.011 5.011 5.011
CELL_PARAMETERS angstrom
0.000 3.341 3.341
3.341 0.000 3.341
3.341 3.341 0.000
```

Summary:
The size of the total moment is 0.1 μB per cell. The energy above the lowest structure with this stoichiometry is 0.859 eV per atom. For the calculated formation energy, the calculation gives 152.4 kJ/mol of atoms.

=====

This record from the Open Quantum Materials Database describes an optimized crystal structure of Tm5SbTe5. The functional is PBE. Values from VASP.

```
&SYSTEM
  ibrav = 0, nat = 11, ntyp = 3
/
ATOMIC_SPECIES
Tm 168.93 Tm.upf
Sb 121.76 Sb.upf
Te 127.60 Te.upf
ATOMIC_POSITIONS angstrom
Tm 0.000 0.000 0.000
Tm 4.089 0.000 1.363
Tm 2.756 0.000 5.433
Tm 8.073 0.000 2.692
Tm 6.740 0.000 6.763
Sb 6.767 0.000 0.000
Te 1.316 0.000 2.741
Te -0.002 0.000 6.728
Te 5.415 0.000 4.063
Te 10.832 0.000 1.398
Te 9.514 0.000 5.385
CELL_PARAMETERS angstrom
6.767 -3.046 0.000
6.767 3.046 0.000
-2.705 0.000 8.126
```

Summary:
The value obtained for the calculated total energy is -5.12 eV per atom. The size of the total moment is 0.0 μB per cell.

=====

This record from the Open Quantum Materials Database describes an optimized crystal structure of Li2ZnNi. The functional is PBE. Values from VASP.

```
&SYSTEM
  ibrav = 0, nat = 4, ntyp = 3
/
ATOMIC_SPECIES
Li 6.94 Li.upf
Zn 65.41 Zn.upf
Ni 58.69 Ni.upf
ATOMIC_POSITIONS angstrom
Li 0.000 0.000 0.000
Li 1.464 1.464 1.464
Zn 2.929 2.929 2.929
Ni 4.393 4.393 4.393
CELL_PARAMETERS angstrom
0.000 2.929 2.929
2.929 0.000 2.929
2.929 2.929 0.000
```

Summary:
The value obtained for the calculated total energy is -2.81 eV per atom. The size of the total moment is 0.0 μB per cell.

=====

This record from the Open Quantum Materials Database describes an optimized crystal structure of CsRbPtS2. The functional is PBE. Values from VASP.

```
&SYSTEM
  ibrav = 0, nat = 5, ntyp = 4
/
ATOMIC_SPECIES
Cs 132.91 Cs.upf
Rb 85.47 Rb.upf
Pt 195.08 Pt.upf
S 32.06 S.upf
ATOMIC_POSITIONS angstrom
Cs 0.000 0.000 0.000
Rb 0.000 0.000 6.310
Pt 1.854 0.000 3.178
S 1.854 2.220 -1.942
S 0.000 1.516 3.176
CELL_PARAMETERS angstrom
-1.854 3.736 5.117
1.854 -3.736 5.117
1.854 3.736 -5.117
```

Summary:
The value obtained for the calculated total energy is -4.12 eV per atom. The size of the total moment is 0.0 μB per cell.

=====

This record from the Open Quantum Materials Database describes an optimized crystal structure of PrDyNO. The functional is PBE. Values from VASP.

```
&SYSTEM
  ibrav = 0, nat = 16, ntyp = 4
/
ATOMIC_SPECIES
Pr 140.91 Pr.upf
Dy 162.50 Dy.upf
N 14.01 N.upf
O 16.00 O.upf
ATOMIC_POSITIONS angstrom
Pr 1.043 0.465 1.267
Pr 1.043 2.934 3.800
Pr 7.215 3.863 1.267
Pr 7.215 6.333 3.800
Dy 3.127 3.976 1.267
Dy 3.127 6.220 3.800
Dy 5.130 0.577 1.267
Dy 5.130 2.821 3.800
N 3.175 3.943 3.800
N 3.175 6.252 1.267
N 5.083 0.545 3.800
N 5.083 2.854 1.267
O 1.199 0.579 3.800
O 1.199 2.820 1.267
O 7.059 3.978 3.800
O 7.059 6.218 1.267
CELL_PARAMETERS angstrom
8.258 0.000 0.000
0.000 6.797 0.000
0.000 0.000 5.067
```

Summary:
The size of the total moment is 0.0 μB per cell. The energy above the lowest structure with this stoichiometry is 0.015 eV per atom.

=====

This record from the Open Quantum Materials Database describes an optimized crystal structure of ScNiSbOs. The functional is PBE. Values from VASP.

```
&SYSTEM
  ibrav = 0, nat = 4, ntyp = 4
/
ATOMIC_SPECIES
Sc 44.96 Sc.upf
Ni 58.69 Ni.upf
Sb 121.76 Sb.upf
Os 190.23 Os.upf
ATOMIC_POSITIONS angstrom
Sc 0.000 0.000 0.000
Ni 3.214 3.214 3.214
Sb 1.607 1.607 1.607
Os 4.821 4.821 4.821
CELL_PARAMETERS angstrom
0.000 3.214 3.214
3.214 0.000 3.214
3.214 3.214 0.000
```

Summary:
The value obtained for the calculated total energy is -6.63 eV per atom. The size of the total moment is 0.2 μB per cell.

=====

This record from the Open Quantum Materials Database describes an optimized crystal structure of DyUPt. The functional is PBE. Values from VASP.

```
&SYSTEM
  ibrav = 0, nat = 3, ntyp = 3
/
ATOMIC_SPECIES
Dy 162.50 Dy.upf
U 238.03 U.upf
Pt 195.08 Pt.upf
ATOMIC_POSITIONS angstrom
Dy 0.000 0.000 0.000
U 3.425 3.425 3.425
Pt 1.713 1.713 1.713
CELL_PARAMETERS angstrom
0.000 3.425 3.425
3.425 0.000 3.425
3.425 3.425 0.000
```

Summary:
The size of the total moment is 3.3 μB per cell. The energy above the lowest structure with this stoichiometry is 0.000 eV per atom. For the calculated formation energy, the calculation gives -21.3 kJ/mol of atoms.

=====

This record from the Open Quantum Materials Database describes an optimized crystal structure of Ga3Ni2Sn3. The functional is PBE. Values from VASP.

```
&SYSTEM
  ibrav = 0, nat = 8, ntyp = 3
/
ATOMIC_SPECIES
Ga 69.72 Ga.upf
Ni 58.69 Ni.upf
Sn 118.71 Sn.upf
ATOMIC_POSITIONS angstrom
Ga 0.000 2.372 0.000
Ga -1.401 4.800 0.000
Ga 1.401 4.800 0.000
Ni 0.000 3.990 1.941
Ni 3.456 1.995 0.000
Sn 1.821 1.051 1.941
Sn 5.091 1.051 1.941
Sn 3.456 3.883 1.941
CELL_PARAMETERS angstrom
6.912 0.000 0.000
-3.456 5.986 0.000
0.000 0.000 3.883
```

Summary:
The size of the total moment is 0.0 μB per cell. The energy above the lowest structure with this stoichiometry is 0.168 eV per atom.

=====

This record from the Open Quantum Materials Database describes an optimized crystal structure of DyHoGa6. The functional is PBE. Values from VASP.

```
&SYSTEM
  ibrav = 0, nat = 8, ntyp = 3
/
ATOMIC_SPECIES
Dy 162.50 Dy.upf
Ho 164.93 Ho.upf
Ga 69.72 Ga.upf
ATOMIC_POSITIONS angstrom
Dy 0.000 0.000 0.000
Ho 0.000 3.610 2.279
Ga 1.735 1.001 2.279
Ga 3.127 0.196 0.000
Ga 1.733 2.610 0.000
Ga 4.519 1.001 2.279
Ga 3.127 3.413 2.279
Ga 4.520 2.610 0.000
CELL_PARAMETERS angstrom
6.253 0.000 0.000
-3.127 5.415 0.000
0.000 0.000 4.558
```

Summary:
The value obtained for the calculated total energy is -3.95 eV per atom. The size of the total moment is 0.0 μB per cell.

=====

This record from the Open Quantum Materials Database describes an optimized crystal structure of GaCuReW. The functional is PBE. Values from VASP.

```
&SYSTEM
  ibrav = 0, nat = 4, ntyp = 4
/
ATOMIC_SPECIES
Ga 69.72 Ga.upf
Cu 63.55 Cu.upf
Re 186.21 Re.upf
W 183.84 W.upf
ATOMIC_POSITIONS angstrom
Ga 0.000 0.000 0.000
Cu 1.537 1.537 1.537
Re 4.612 4.612 4.612
W 3.075 3.075 3.075
CELL_PARAMETERS angstrom
0.000 3.075 3.075
3.075 0.000 3.075
3.075 3.075 0.000
```

Summary:
The size of the total moment is 0.0 μB per cell. The energy above the lowest structure with this stoichiometry is 0.000 eV per atom.

=====

This record from the Open Quantum Materials Database describes an optimized crystal structure of SrCdB2O5. The functional is PBE. Values from VASP.

```
&SYSTEM
  ibrav = 0, nat = 36, ntyp = 4
/
ATOMIC_SPECIES
Sr 87.62 Sr.upf
Cd 112.41 Cd.upf
B 10.81 B.upf
O 16.00 O.upf
ATOMIC_POSITIONS angstrom
Sr 2.434 3.769 8.226
Sr 3.355 1.869 2.742
Sr 2.434 -1.869 8.226
Sr 3.355 -3.769 2.742
Cd 1.549 0.998 6.114
Cd 2.469 -0.998 0.629
Cd 3.319 0.998 10.339
Cd 4.240 -0.998 4.855
B 1.269 3.696 10.920
B 0.540 0.981 9.111
B 3.599 3.696 5.533
B 1.461 -0.981 3.627
B 4.328 0.981 7.341
B 2.190 -3.696 5.436
B 5.248 -0.981 1.857
B 4.519 -3.696 0.049
O 2.750 3.911 1.312
O 0.864 1.834 8.111
O 1.505 0.987 1.072
O 2.382 3.099 5.753
O 3.959 3.911 4.172
O 2.486 3.099 10.700
O 0.584 -0.987 6.556
O 2.198 0.078 4.074
O 1.278 -0.078 9.558
O 1.785 -1.834 2.627
O 4.004 1.834 8.341
O 4.511 0.078 1.411
O 3.590 -0.078 6.895
O 5.204 0.987 4.413
O 3.302 -3.099 0.269
O 1.830 -3.911 6.796
O 3.407 -3.099 5.216
O 4.284 -0.987 9.897
O 4.925 -1.834 2.857
O 3.038 -3.911 9.657
CELL_PARAMETERS angstrom
3.815 -5.081 0.000
3.815 5.081 0.000
-1.841 0.000 10.969
```

Summary:
The value obtained for the calculated total energy is -6.87 eV per atom.